Version i
First-principles (GGA-PBE) data for a relaxed structure of NbCu2F, as listed in the Alexandria database.

The structure in POSCAR format:
```
NbCu2F
1.0
-3.4698 3.4698 2.2764
3.4698 -3.4698 2.2764
3.4698 3.4698 -2.2764
Nb Cu F
2 4 2
direct
0.0000 0.0000 0.0000
0.7500 0.2500 0.5000
0.1642 0.6250 0.0392
0.3750 0.4142 0.5392
0.5858 0.1250 0.9608
0.8750 0.8358 0.4608
0.2500 0.7500 0.5000
0.5000 0.5000 0.0000
```

space-group type	I-42d (122)
mass density	7.240	g/cm3

Version ii
First-principles (GGA-PBE) data for a relaxed structure of NbCu2F, as listed in the Alexandria database.

The structure in POSCAR format:
```
NbCu2F
1.0
0.0000 3.0387 3.0387
3.0387 0.0000 3.0387
3.0387 3.0387 0.0000
Nb Cu F
1 2 1
direct
0.0000 0.0000 0.0000
0.2500 0.2500 0.2500
0.7500 0.7500 0.7500
0.5000 0.5000 0.5000
```

space-group type	Fm-3m (225)
mass density	7.072	g/cm3

version i ends up most stable, edging out the next structure by 0.377 eV/atom.